Entry 1:
First-principles (SCAN) data for a PBEsol-optimized structure of SnTe2PdN, as listed in the Alexandria database.

Cell lengths 5.700, 5.700, 3.776 Å; angles 90.00, 90.00, 90.00 degrees
Space group P4/mmm (No. 123)
Inequivalent atoms, fractional coordinates:
Sn1 0.000 0.000 0.000 [1 per cell]
Te1 0.000 0.500 0.000 [2 per cell]
Pd1 0.500 0.500 0.500 [1 per cell]
N1 0.000 0.000 0.500 [1 per cell]

Properties
The calculation puts the calculated density at 6.69 g cm⁻³. The uncorrected formation energy comes out at 1049 meV/atom.

***

Entry 2:
First-principles (SCAN) data for a PBEsol-optimized structure of LiIn2Hg, as listed in the Alexandria database.

Cell lengths 4.391, 4.391, 4.455 Å; angles 90.00, 90.00, 90.00 degrees
Space group P4/mmm (No. 123)
Inequivalent atoms, fractional coordinates:
Li1 0.000 0.000 0.000 [1 per cell]
In1 0.000 0.500 0.500 [2 per cell]
Hg1 0.500 0.500 0.000 [1 per cell]

Properties
The calculation puts the calculated density at 8.45 g cm⁻³. Its formation energy is -0.82 eV/f.u.

***

Entry 3:
First-principles (SCAN) data for a PBEsol-optimized structure of GdAu2, as listed in the Alexandria database.

Cell lengths 3.702, 3.702, 9.002 Å; angles 90.00, 90.00, 90.00 degrees
Space group I4/mmm (No. 139)
Inequivalent atoms, fractional coordinates:
Gd1 0.000 0.000 0.000 [2 per cell]
Au1 0.000 0.000 0.333 [4 per cell]

Properties
The calculation puts the calculated density at 14.84 g cm⁻³. Its formation energy is -2.89 eV/f.u.

***

Entry 4:
First-principles (SCAN) data for a PBEsol-optimized structure of K2AsRuPt, as listed in the Alexandria database.

Cell lengths 6.115, 6.115, 4.509 Å; angles 90.00, 90.00, 90.00 degrees
Space group P4/mmm (No. 123)
Inequivalent atoms, fractional coordinates:
K1 0.000 0.500 0.000 [2 per cell]
As1 0.000 0.000 0.500 [1 per cell]
Ru1 0.500 0.500 0.500 [1 per cell]
Pt1 0.000 0.000 0.000 [1 per cell]

Properties
The calculation puts the calculated density at 4.43 g cm⁻³. Its formation energy is 3.29 eV/f.u.

***

Repeat the third record exactly.
First-principles (SCAN) data for a PBEsol-optimized structure of GdAu2, as listed in the Alexandria database.

Cell lengths 3.702, 3.702, 9.002 Å; angles 90.00, 90.00, 90.00 degrees
Space group I4/mmm (No. 139)
Inequivalent atoms, fractional coordinates:
Gd1 0.000 0.000 0.000 [2 per cell]
Au1 0.000 0.000 0.333 [4 per cell]

Properties
The calculation puts the calculated density at 14.84 g cm⁻³. Its formation energy is -2.89 eV/f.u.

***

> Which value of calculated density does entry 4 give?

4.43 g cm⁻³

***

> Look up the calculated density of the fourth one.

4.43 g cm⁻³